A relaxed structure of Mg3Ni5O8, computed with GGA+U.

```
16
Lattice="5.2000 0.0000 2.9786 1.7469 4.8977 2.9786 0.0334 0.0235 5.9701" Properties=species:S:1:pos:R:3 pbc="T T T"
Ni 3.4734 2.4489 2.9786
Ni 2.6000 0.0000 1.4893
Ni 3.4901 2.4606 5.9636
Ni 0.0000 0.0000 0.0000
Ni 0.8735 2.4489 1.4893
O 2.6127 3.6794 4.4742
O 4.3433 1.2247 4.4742
O 2.6370 3.6965 7.4530
O 4.3676 1.2419 7.4530
O 5.2188 3.6794 5.9670
O 1.7376 1.2251 2.9948
O 5.2426 3.6962 8.9324
O 1.7615 1.2419 5.9602
Mg 2.6167 0.0118 4.4743
Mg 0.8901 2.4606 4.4743
Mg 0.0167 0.0118 2.9850
```

The total energy comes out at -5.275 eV/atom. The value obtained for the total moment is 10.0 μB per formula unit. The calculation puts the density of states at the Fermi level at 0.00 states/eV/f.u.